1.
Material: NaP2
Method: DFT, PBE
State: optimized geometry

Calculated values
DOS(E_F)   0.890 states/eV/cell
Final energy   -4.249 eV per atom

Lattice parameters (Å, degrees): 3.311 4.203 4.703 78.99 82.87 89.57
Element x y z (fractional)
1 Na 0.000 0.000 0.000
2 P 0.274 0.385 0.407
3 P 0.736 0.613 0.592

---

2.
Material: Na3P
Method: DFT, PBE
State: optimized geometry

Calculated values
DOS(E_F)   0.080 states/eV/cell
Final energy   -2.677 eV per atom

Lattice parameters (Å, degrees): 4.965 4.965 8.846 90.00 90.00 120.00
Element x y z (fractional)
1 Na 0.000 0.000 0.250
2 Na 0.000 0.000 0.750
3 Na 0.333 0.667 0.079
4 Na 0.333 0.667 0.421
5 Na 0.667 0.333 0.579
6 Na 0.667 0.333 0.921
7 P 0.333 0.667 0.750
8 P 0.667 0.333 0.250

---

3.
Material: NaP
Method: DFT, PBE
State: optimized geometry

Calculated values
DOS(E_F)   4.081 states/eV/cell
Energy relative to the lowest polymorph listed for this composition   0.3100 eV per atom

Lattice parameters (Å, degrees): 6.294 6.294 5.566 90.00 90.00 90.00
Element x y z (fractional)
1 Na 0.195 0.195 0.000
2 Na 0.305 0.695 0.500
3 Na 0.695 0.305 0.500
4 Na 0.805 0.805 0.000
5 P 0.117 0.117 0.500
6 P 0.383 0.617 0.000
7 P 0.617 0.383 0.000
8 P 0.883 0.883 0.500

---

4.
Material: NaP
Method: DFT, PBE
State: optimized geometry

Calculated values
DOS(E_F)   2.819 states/eV/cell
Energy relative to the lowest polymorph listed for this composition   0.1509 eV per atom

Lattice parameters (Å, degrees): 3.870 3.953 12.115 90.00 90.00 90.00
Element x y z (fractional)
1 Na 0.000 0.000 0.000
2 Na 0.000 0.000 0.251
3 Na 0.000 0.500 0.500
4 Na 0.000 0.500 0.751
5 P 0.500 0.000 0.439
6 P 0.500 0.000 0.610
7 P 0.500 0.500 0.110
8 P 0.500 0.500 0.939